This record from Alexandria describes ZrNiAu3 at its PBEsol-relaxed geometry. The functional is SCAN.

Unit cell a=4.6150 b=4.6150 c=4.6150 alpha=90.00 beta=90.00 gamma=90.00
Last column: nearest neighbours and their distance in Å.
Space group Pm-3m (No. 221)
Asymmetric unit:
1 Zr 0.0000 0.0000 0.0000  12 Au 3.26
2 Ni 0.5000 0.5000 0.5000  6 Au 2.31
3 Au 0.0000 0.5000 0.5000  2 Ni 2.31

Summary:
* formation enthalpy at 0 K: 34.14 kJ/mol of atoms
* spin magnetization: 1.9 μB per formula unit